# 1
A relaxed structure of Ba4Ta3. Source: Alexandria via LeMat-Bulk, functional GGA-PBE.

## Properties
SG: I4/mmm, No. 139
Polymorph energy (0 for the lowest one): 0 meV/atom
Crystal system: tetragonal
Volume: 246.09 Å³/cell
Energy of formation from the pure elements: 0.78 eV per atom

abc: 18.516 18.516 18.516
angles: 168.64 168.64 16.09
Element x y z (fractional)
1 Ta 0.736 0.736 0.000
2 Ba 0.564 0.564 0.000
3 Ba 0.436 0.436 0.000
4 Ta 0.000 0.000 0.000
5 Ba 0.169 0.169 0.000
6 Ta 0.264 0.264 0.000
7 Ba 0.831 0.831 0.000

# 2
A relaxed structure of TbBeRu. Source: Alexandria via LeMat-Bulk, functional GGA-PBE.

## Properties
SG: I4mm, No. 107
Polymorph energy (0 for the lowest one): 68 meV/atom
Crystal system: tetragonal
Volume: 49.84 Å³/cell
Energy of formation from the pure elements: -0.22 eV per atom

abc: 3.223 3.223 5.311
angles: 107.67 107.67 90.00
Element x y z (fractional)
1 Tb 0.998 0.998 0.996
2 Be 0.714 0.714 0.428
3 Ru 0.288 0.288 0.576

# 3
A relaxed structure of TlPb4Au. Source: Alexandria via LeMat-Bulk, functional GGA-PBE.

## Properties
SG: C2/m, No. 12
Polymorph energy (0 for the lowest one): 0 meV/atom
Crystal system: monoclinic
Volume: 366.83 Å³/cell
Energy of formation from the pure elements: 0.01 eV per atom

abc: 6.244 7.920 9.160
angles: 115.61 113.36 90.00
Element x y z (fractional)
1 Tl 0.244 0.205 0.410
2 Pb 0.663 0.348 0.241
3 Pb 0.337 0.652 0.759
4 Pb 0.663 0.893 0.241
5 Pb 0.148 0.672 0.344
6 Au 0.693 0.476 0.953
7 Au 0.307 0.524 0.047
8 Pb 0.337 0.107 0.759
9 Pb 0.000 0.204 0.000
10 Pb 0.852 0.328 0.656
11 Pb 0.000 0.796 0.000
12 Tl 0.756 0.795 0.590

# 4
A relaxed structure of CaGdCu2. Source: Alexandria via LeMat-Bulk, functional GGA-PBE.

## Properties
SG: P4/mmm, No. 123
Polymorph energy (0 for the lowest one): 0 meV/atom
Crystal system: tetragonal
Volume: 89.16 Å³/cell
Energy of formation from the pure elements: -0.15 eV per atom

abc: 3.546 3.546 7.090
angles: 90.00 90.00 90.00
Last column: magnetic moment on the atom in μB.
Element x y z (fractional)
1 Cu 0.000 0.000 0.778  0.00
2 Ca 0.500 0.500 0.500  0.01
3 Gd 0.500 0.500 0.000  7.03
4 Cu 0.000 0.000 0.222  0.00

# 5
A relaxed structure of SbMoP2. Source: Alexandria via LeMat-Bulk, functional GGA-PBE.

## Properties
SG: Cm, No. 8
Crystal system: monoclinic
Energy relative to the elements, uncorrected: -0.063 eV per atom
Volume: 79.51 Å³/cell

abc: 4.414 4.414 5.946
angles: 84.91 84.91 43.59
Element x y z (fractional)
1 P 0.041 0.041 0.930
2 Mo 0.753 0.753 0.856
3 Sb 0.473 0.473 0.543
4 P 0.233 0.233 0.171

# 6
A relaxed structure of CsMnHg2Cl. Source: Alexandria via LeMat-Bulk, functional GGA-PBE.

## Properties
SG: P4/mmm, No. 123
Crystal system: tetragonal
Energy relative to the elements, uncorrected: -0.194 eV per atom
Volume: 219.59 Å³/cell

abc: 5.261 7.933 5.261
angles: 90.00 90.00 90.00
Last column: magnetic moment on the atom in μB.
Element x y z (fractional)
1 Cs 0.000 0.500 0.000  0.01
2 Mn 0.000 0.000 0.000  3.89
3 Hg 0.500 0.000 0.000  -0.01
4 Hg 0.000 0.000 0.500  0.05
5 Cl 0.500 0.500 0.500  0.00

# 7
A relaxed structure of CaTe2WI. Source: Alexandria via LeMat-Bulk, functional GGA-PBE.

## Properties
SG: P4/mmm, No. 123
Polymorph energy (0 for the lowest one): 0 meV/atom
Crystal system: tetragonal
Energy relative to the elements, uncorrected: 0.110 eV per atom
Volume: 163.91 Å³/cell

abc: 5.289 5.289 5.860
angles: 90.00 90.00 90.00
Element x y z (fractional)
1 Ca 0.500 0.500 0.500
2 W 0.000 0.000 0.000
3 I 0.000 0.000 0.500
4 Te 0.000 0.500 0.000
5 Te 0.500 0.000 0.000

# 8
A relaxed structure of CsNdSe2O6. Source: Alexandria via LeMat-Bulk, functional GGA-PBE.

## Properties
SG: C2/c, No. 15
Crystal system: monoclinic
Energy relative to the elements, uncorrected: -1.747 eV per atom
Volume: 374.31 Å³/cell

abc: 7.073 7.073 8.085
angles: 102.68 102.68 100.07
Element x y z (fractional)
1 O 0.516 0.302 0.934
2 Se 0.670 0.910 0.198
3 Nd 0.442 0.558 0.750
4 O 0.816 0.714 0.878
5 O 0.453 0.907 0.751
6 O 0.302 0.516 0.434
7 O 0.698 0.484 0.566
8 O 0.093 0.547 0.749
9 O 0.547 0.093 0.249
10 O 0.184 0.286 0.122
11 Cs 0.837 0.163 0.750
12 O 0.907 0.453 0.251
13 Se 0.090 0.330 0.302
14 Se 0.330 0.090 0.802
15 O 0.286 0.184 0.622
16 Se 0.910 0.670 0.698
17 Nd 0.558 0.442 0.250
18 O 0.714 0.816 0.378
19 Cs 0.163 0.837 0.250
20 O 0.484 0.698 0.066

# 9
A relaxed structure of AuS5Br. Source: Alexandria via LeMat-Bulk, functional GGA-PBE.

## Properties
SG: P1, No. 1
Crystal system: triclinic
Energy relative to the elements, uncorrected: 0.025 eV per atom
Volume: 215.77 Å³/cell

abc: 4.245 4.437 12.527
angles: 113.78 90.67 91.75
Element x y z (fractional)
1 Au 0.936 0.463 0.615
2 S 0.900 0.868 0.140
3 S 0.252 0.365 0.754
4 S 0.189 0.617 0.208
5 Br 0.430 0.424 0.481
6 S 0.191 0.142 0.078
7 S 0.633 0.651 0.786

# 10
A relaxed structure of Pm5Th3H12. Source: Alexandria via LeMat-Bulk, functional GGA-PBE.

## Properties
Calculated total energy: -379.749 eV for the cell shown
SG: Ia-3d, No. 230
Crystal system: cubic
Volume: 1239.46 Å³/cell

abc: 11.721 11.721 11.721
angles: 109.47 109.47 109.47
Element x y z (fractional)
1 Pm 0.000 0.500 0.500
2 Th 0.875 0.750 0.125
3 Th 0.125 0.250 0.875
4 Th 0.750 0.375 0.125
5 Th 0.375 0.625 0.250
6 H 0.580 0.928 0.656
7 Th 0.250 0.125 0.375
8 H 0.920 0.076 0.848
9 H 0.420 0.072 0.344
10 H 0.428 0.656 0.080
11 H 0.072 0.420 0.844
12 H 0.772 0.344 0.924
13 Pm 0.375 0.125 0.750
14 H 0.156 0.080 0.928
15 H 0.928 0.580 0.156
16 Th 0.125 0.875 0.750
17 H 0.272 0.848 0.928
18 Pm 0.750 0.625 0.375
19 H 0.420 0.348 0.576
20 H 0.228 0.656 0.076
21 H 0.348 0.928 0.772
22 Pm 0.000 0.000 0.500
23 Th 0.375 0.750 0.625
24 H 0.076 0.156 0.228
25 H 0.652 0.072 0.228
26 Pm 0.250 0.375 0.625
27 H 0.072 0.652 0.728
28 H 0.848 0.576 0.920
29 Pm 0.375 0.250 0.125
30 Th 0.625 0.250 0.375
31 H 0.152 0.728 0.572
32 H 0.772 0.428 0.348
33 H 0.656 0.228 0.576
34 Th 0.250 0.625 0.875
35 Th 0.625 0.375 0.750
36 H 0.080 0.156 0.428
37 H 0.924 0.844 0.772
38 H 0.576 0.728 0.656
39 H 0.580 0.652 0.424
40 Pm 0.250 0.875 0.125
41 Pm 0.500 0.500 0.500
42 H 0.844 0.920 0.072
43 H 0.428 0.772 0.848
44 H 0.728 0.152 0.072
45 Th 0.875 0.125 0.250
46 H 0.424 0.152 0.580
47 H 0.080 0.924 0.152
48 H 0.156 0.076 0.728
49 H 0.924 0.080 0.652
50 Pm 0.000 0.000 0.000
51 Pm 0.750 0.125 0.875
52 Pm 0.125 0.750 0.375
53 Pm 0.500 0.000 0.000
54 Pm 0.625 0.875 0.250
55 H 0.424 0.272 0.344
56 H 0.572 0.344 0.920
57 Pm 0.875 0.250 0.625
58 Pm 0.875 0.625 0.750
59 H 0.656 0.428 0.580
60 H 0.152 0.424 0.080
61 H 0.348 0.420 0.076
62 Th 0.750 0.875 0.625
63 H 0.848 0.272 0.428
64 H 0.272 0.424 0.844
65 Pm 0.625 0.750 0.875
66 H 0.076 0.920 0.348
67 H 0.572 0.228 0.152
68 Pm 0.125 0.375 0.250
69 H 0.344 0.772 0.424
70 Pm 0.500 0.000 0.500
71 H 0.920 0.844 0.572
72 Pm 0.500 0.500 0.000
73 H 0.344 0.572 0.420
74 H 0.844 0.924 0.272
75 Pm 0.000 0.500 0.000
76 H 0.652 0.580 0.924
77 H 0.228 0.572 0.652
78 H 0.728 0.576 0.156
79 H 0.928 0.348 0.272
80 H 0.576 0.848 0.420

# 11
A relaxed structure of LiEu2CI3N2. Source: Alexandria via LeMat-Bulk, functional GGA-PBE.

## Properties
SG: Fd-3m, No. 227
Crystal system: cubic
Energy relative to the elements, uncorrected: -1.179 eV per atom
Volume: 888.18 Å³/cell

abc: 10.790 10.790 10.790
angles: 60.00 60.00 60.00
Last column: magnetic moment on the atom in μB.
Element x y z (fractional)
1 I 0.051 0.449 0.051  -0.01
2 I 0.199 0.801 0.199  -0.01
3 N 0.984 0.672 0.672  -0.03
4 Eu 0.408 0.775 0.408  6.88
5 I 0.449 0.051 0.051  -0.01
6 C 0.625 0.625 0.125  0.01
7 C 0.625 0.125 0.625  0.01
8 C 0.625 0.625 0.625  0.01
9 I 0.449 0.449 0.051  -0.01
10 Li 0.625 0.125 0.125  0.00
11 I 0.199 0.801 0.801  -0.01
12 I 0.449 0.051 0.449  -0.01
13 N 0.672 0.672 0.672  -0.03
14 I 0.801 0.199 0.199  -0.01
15 I 0.051 0.449 0.449  -0.01
16 C 0.125 0.625 0.625  0.01
17 N 0.578 0.266 0.578  -0.03
18 Eu 0.842 0.842 0.475  6.88
19 N 0.672 0.672 0.984  -0.03
20 N 0.672 0.984 0.672  -0.03
21 Eu 0.842 0.475 0.842  6.88
22 Eu 0.408 0.408 0.775  6.88
23 I 0.801 0.199 0.801  -0.01
24 I 0.051 0.051 0.449  -0.01
25 Eu 0.775 0.408 0.408  6.88
26 I 0.199 0.199 0.801  -0.01
27 Eu 0.842 0.842 0.842  6.88
28 N 0.578 0.578 0.266  -0.03
29 Li 0.125 0.125 0.125  0.00
30 N 0.266 0.578 0.578  -0.03
31 Eu 0.408 0.408 0.408  6.88
32 Li 0.125 0.625 0.125  0.00
33 Eu 0.475 0.842 0.842  6.88
34 I 0.801 0.801 0.199  -0.01
35 Li 0.125 0.125 0.625  0.00
36 N 0.578 0.578 0.578  -0.03

# 12
A relaxed structure of HfTcAsSe2. Source: Alexandria via LeMat-Bulk, functional GGA-PBE.

## Properties
SG: P4/mmm, No. 123
Polymorph energy (0 for the lowest one): 23 meV/atom
Crystal system: tetragonal
Energy relative to the elements, uncorrected: 0.501 eV per atom
Volume: 135.38 Å³/cell

abc: 5.100 5.100 5.204
angles: 90.00 90.00 90.00
Last column: magnetic moment on the atom in μB.
Element x y z (fractional)
1 Tc 0.500 0.500 0.500  3.85
2 As 0.000 0.000 0.500  -0.06
3 Se 0.500 0.000 0.000  0.02
4 Se 0.000 0.500 0.000  0.02
5 Hf 0.000 0.000 0.000  0.06

# 13
A relaxed structure of Zr2IrSeCl. Source: Alexandria via LeMat-Bulk, functional GGA-PBE.

## Properties
SG: P4/mmm, No. 123
Crystal system: tetragonal
Energy relative to the elements, uncorrected: 0.123 eV per atom
Volume: 129.75 Å³/cell

abc: 5.109 4.971 5.109
angles: 90.00 90.00 90.00
Element x y z (fractional)
1 Ir 0.000 0.000 0.000
2 Zr 0.000 0.000 0.500
3 Zr 0.500 0.000 0.000
4 Cl 0.500 0.500 0.500
5 Se 0.000 0.500 0.000

# 14
A relaxed structure of RbHAu2I. Source: Alexandria via LeMat-Bulk, functional GGA-PBE.

## Properties
Calculated total energy: -7.589 eV for the cell shown
SG: P4/mmm, No. 123
Crystal system: tetragonal
Volume: 150.98 Å³/cell

abc: 5.980 4.222 5.980
angles: 90.00 90.00 90.00
Element x y z (fractional)
1 Au 0.500 0.000 0.000
2 Rb 0.000 0.000 0.000
3 I 0.500 0.500 0.500
4 Au 0.000 0.000 0.500
5 H 0.000 0.500 0.000

# 15
A relaxed structure of AcAl2Hg. Source: Alexandria via LeMat-Bulk, functional GGA-PBE.

## Properties
SG: R-3m, No. 166
Crystal system: trigonal
Volume: 103.54 Å³/cell
Energy of formation from the pure elements: -0.26 eV per atom

abc: 4.529 4.529 6.388
angles: 69.24 69.24 60.00
Element x y z (fractional)
1 Al 0.787 0.787 0.639
2 Ac 0.000 0.000 0.000
3 Hg 0.500 0.500 0.500
4 Al 0.213 0.213 0.361

# 16
A relaxed structure of ScMnTeN2. Source: Alexandria via LeMat-Bulk, functional GGA-PBE.

## Properties
SG: P4/mmm, No. 123
Polymorph energy (0 for the lowest one): 0 meV/atom
Crystal system: tetragonal
Energy relative to the elements, uncorrected: 0.300 eV per atom
Volume: 76.57 Å³/cell

abc: 3.818 3.818 5.251
angles: 90.00 90.00 90.00
Element x y z (fractional)
1 Sc 0.500 0.500 0.500
2 Mn 0.000 0.000 0.000
3 N 0.000 0.500 0.000
4 Te 0.000 0.000 0.500
5 N 0.500 0.000 0.000

# 17
A relaxed structure of Ho4CdGa2. Source: Alexandria via LeMat-Bulk, functional GGA-PBE.

## Properties
SG: R-3m, No. 166
Polymorph energy (0 for the lowest one): 148 meV/atom
Crystal system: trigonal
Volume: 191.88 Å³/cell
Energy of formation from the pure elements: -0.22 eV per atom

abc: 4.989 4.989 9.356
angles: 74.54 74.54 60.00
Element x y z (fractional)
1 Ho 0.793 0.793 0.620
2 Ho 0.382 0.382 0.855
3 Ho 0.618 0.618 0.145
4 Ga 0.098 0.098 0.705
5 Cd 0.000 0.000 0.000
6 Ho 0.207 0.207 0.380
7 Ga 0.902 0.902 0.295

# 18
A relaxed structure of Pm2Al3CuAu4. Source: Alexandria via LeMat-Bulk, functional GGA-PBE.

## Properties
SG: P-4m2, No. 115
Crystal system: tetragonal
Volume: 202.92 Å³/cell
Energy of formation from the pure elements: -0.63 eV per atom

abc: 4.429 4.429 10.344
angles: 90.00 90.00 90.00
Element x y z (fractional)
1 Au 0.500 0.500 0.000
2 Pm 0.500 0.000 0.257
3 Cu 0.500 0.500 0.500
4 Al 0.500 0.000 0.870
5 Pm 0.000 0.500 0.743
6 Au 0.000 0.000 0.000
7 Au 0.000 0.500 0.370
8 Al 0.000 0.000 0.500
9 Al 0.000 0.500 0.130
10 Au 0.500 0.000 0.630

# 19
A relaxed structure of Cs3NpSc3S8. Source: Alexandria via LeMat-Bulk, functional GGA-PBE.

## Properties
SG: R-3m, No. 166
Crystal system: trigonal
Energy relative to the elements, uncorrected: -1.637 eV per atom
Volume: 424.40 Å³/cell

abc: 7.762 7.762 9.288
angles: 114.72 90.00 120.00
Last column: magnetic moment on the atom in μB.
Element x y z (fractional)
1 Sc 0.000 0.500 0.500  0.01
2 Sc 0.500 0.000 0.500  0.01
3 S 0.283 0.055 0.326  -0.04
4 Cs 0.000 0.500 0.000  0.00
5 S 0.724 0.447 0.671  0.00
6 Sc 0.500 0.500 0.500  0.01
7 Np 0.000 0.000 0.500  3.18
8 Cs 0.500 0.500 0.000  0.00
9 S 0.229 0.945 0.674  -0.04
10 S 0.276 0.553 0.329  0.00
11 Cs 0.000 0.000 0.000  0.00
12 S 0.229 0.458 0.674  -0.04
13 S 0.771 0.055 0.326  -0.04
14 S 0.717 0.945 0.674  -0.04
15 S 0.771 0.542 0.326  -0.04

# 20
A relaxed structure of BaZrCr2. Source: Alexandria via LeMat-Bulk, functional GGA-PBE.

## Properties
SG: Fm-3m, No. 225
Polymorph energy (0 for the lowest one): 388 meV/atom
Crystal system: cubic
Volume: 96.62 Å³/cell
Energy of formation from the pure elements: 0.95 eV per atom

abc: 5.151 5.151 5.151
angles: 60.00 60.00 60.00
Last column: magnetic moment on the atom in μB.
Element x y z (fractional)
1 Zr 0.000 0.000 0.000  -0.69
2 Ba 0.500 0.500 0.500  -0.02
3 Cr 0.250 0.250 0.250  3.38
4 Cr 0.750 0.750 0.750  3.38